The following is a DFT calculation (PBE) of a geometry-optimized AlZnInP2 structure.

Cell: 4.768 4.768 4.927 Å, 90.00 90.00 90.00°
Space group P4/mmm (No. 123)
Inequivalent atoms, fractional coordinates:
Al 0.000 0.000 0.000 [1 per cell]
Zn 0.000 0.000 0.500 [1 per cell]
In 0.500 0.500 0.000 [1 per cell]
P 0.000 0.500 0.500 [2 per cell]

Results
- formation enthalpy at 0 K (eV/f.u.) = 3.19